The following is a DFT calculation (PBE) of crystalline NbTeRhI2 at its relaxed geometry.

Calculated values
Total moment: 0.5 μB per formula unit
Raw formation energy: 0.72 eV/atom

a = 5.4304 Å, b = 5.0068 Å, c = 5.4304 Å
α = 90.00°, β = 90.00°, γ = 90.00°
Each line ends with the local moment (μB).
Element x y z (fractional)
Rh1 0.0000 0.5000 0.0000  0.07
Te1 0.5000 0.5000 0.5000  0.23
I1 0.0000 0.0000 0.5000  0.04
I2 0.5000 0.0000 0.0000  0.02
Nb1 0.0000 0.0000 0.0000  -0.05

***

The following is a DFT calculation (PBE) of crystalline Cs2Na3Sb2 at its relaxed geometry.

Calculated values
Total moment: 0.0 μB per formula unit
Raw formation energy: -0.34 eV/atom

a = 5.3653 Å, b = 7.5766 Å, c = 8.8303 Å
α = 115.05°, β = 90.00°, γ = 110.74°
Element x y z (fractional)
Cs1 0.8503 0.7007 0.2177
Cs2 0.1497 0.2993 0.7823
Na1 0.6639 0.3278 0.4225
Na2 0.5000 0.0000 0.0000
Na3 0.3361 0.6722 0.5775
Sb1 0.8746 0.7492 0.7844
Sb2 0.1254 0.2508 0.2156

***

The following is a DFT calculation (PBE) of crystalline Tb2SmSc at its relaxed geometry.

Calculated values
Total moment: 0.0 μB per formula unit
Calculated formation energy: 0.046 eV per atom

a = 3.5153 Å, b = 3.5153 Å, c = 11.5461 Å
α = 81.24°, β = 81.24°, γ = 60.00°
Element x y z (fractional)
Sm1 0.5000 0.5000 0.5000
Tb1 0.2538 0.2538 0.2385
Tb2 0.7462 0.7462 0.7615
Sc1 0.0000 0.0000 0.0000